(1)
## ZnNi2RuI (PBE)

Data for a geometry-optimized ZnNi2RuI structure.

Unit cell a=4.640 b=5.088 c=4.640 alpha=90.00 beta=90.00 gamma=90.00
Site moments in Bohr magnetons follow the coordinates.
Fractional coordinates of all 5 atoms:
I 0.000 0.500 0.000  0.01
Ni 0.000 0.000 0.500  0.90
Ni 0.500 0.000 0.000  0.45
Ru 0.000 0.000 0.000  0.66
Zn 0.500 0.500 0.500  0.02

Space-group type ... P4/mmm (123)
Magnetic moment ... 2.1 Bohr magnetons per cell
Formation energy without anion corrections ... 111.52 kJ/mol of atoms

---

(2)
## NiSI (PBE)

Data for a geometry-optimized NiSI structure.

Unit cell a=6.371 b=6.371 c=6.371 alpha=90.00 beta=90.00 gamma=90.00
Site moments in Bohr magnetons follow the coordinates.
Fractional coordinates of all 12 atoms:
Ni 0.622 0.878 0.122  0.54
Ni 0.878 0.122 0.622  0.54
Ni 0.378 0.378 0.378  0.54
Ni 0.122 0.622 0.878  0.54
S 0.608 0.108 0.392  0.07
S 0.892 0.892 0.892  0.07
S 0.392 0.608 0.108  0.07
S 0.108 0.392 0.608  0.07
I 0.858 0.642 0.358  0.05
I 0.642 0.358 0.858  0.05
I 0.142 0.142 0.142  0.05
I 0.358 0.858 0.642  0.05

Space-group type ... P2_13 (198)
Magnetic moment ... 3.0 Bohr magnetons per cell
Formation energy without anion corrections ... 11.90 kJ/mol of atoms

---

(3)
## Ni3SI (PBE)

Data for a geometry-optimized Ni3SI structure.

Unit cell a=4.699 b=4.699 c=4.699 alpha=90.00 beta=90.00 gamma=90.00
Site moments in Bohr magnetons follow the coordinates.
Fractional coordinates of all 5 atoms:
Ni 0.500 0.000 0.000  0.57
Ni 0.000 0.000 0.500  0.61
Ni 0.000 0.500 0.000  0.78
I 0.000 0.000 0.000  0.04
S 0.500 0.500 0.500  0.49

Space-group type ... Pm-3m (221)
Magnetic moment ... 2.7 Bohr magnetons per cell
Formation energy without anion corrections ... 114.89 kJ/mol of atoms
Relative energy among the computed polymorphs ... 931 meV/atom

---

(4)
## NiS2I (PBE)

Data for a geometry-optimized NiS2I structure.

Unit cell a=7.800 b=7.800 c=7.800 alpha=26.71 beta=26.71 gamma=26.71
Fractional coordinates of all 4 atoms:
S 0.118 0.118 0.118
S 0.882 0.882 0.882
Ni 0.500 0.500 0.500
I 0.000 0.000 0.000

Space-group type ... R-3m (166)
Magnetic moment ... 0.0 Bohr magnetons per cell
Formation energy without anion corrections ... -5.47 kJ/mol of atoms
Relative energy among the computed polymorphs ... 28 meV/atom

---

(5)
## NiS2I (PBE)

Data for a geometry-optimized NiS2I structure.

Unit cell a=6.288 b=6.288 c=6.431 alpha=60.73 beta=60.73 gamma=90.00
Fractional coordinates of all 8 atoms:
S 0.517 0.125 0.250
S 0.233 0.625 0.250
S 0.375 0.483 0.750
S 0.875 0.767 0.750
Ni 0.500 0.500 0.000
Ni 0.250 0.750 0.500
I 0.750 0.250 0.500
I 0.000 0.000 0.000

Space-group type ... I-42d (122)
Magnetic moment ... 0.0 Bohr magnetons per cell
Formation energy without anion corrections ... 17.36 kJ/mol of atoms
Relative energy among the computed polymorphs ... 265 meV/atom

---

(6)
## NiSI (PBE)

Data for a geometry-optimized NiSI structure.

Unit cell a=3.486 b=7.352 c=6.458 alpha=98.07 beta=105.66 gamma=90.00
Fractional coordinates of all 6 atoms:
S 0.667 0.848 0.334
S 0.333 0.152 0.666
I 0.904 0.729 0.807
I 0.096 0.271 0.193
Ni 0.723 0.153 0.445
Ni 0.277 0.847 0.555

Space-group type ... C2/m (12)
Magnetic moment ... 0.0 Bohr magnetons per cell
Formation energy without anion corrections ... -10.98 kJ/mol of atoms

---

(7)
## NiS3I (PBE)

Data for a geometry-optimized NiS3I structure.

Unit cell a=3.611 b=8.959 c=20.419 alpha=29.34 beta=96.10 gamma=87.36
Fractional coordinates of all 10 atoms:
S 0.903 0.195 0.709
S 0.077 0.917 0.353
S 0.097 0.805 0.291
S 0.923 0.083 0.647
S 0.362 0.068 0.151
S 0.638 0.932 0.849
I 0.932 0.486 0.224
I 0.068 0.514 0.776
Ni 0.496 0.818 0.717
Ni 0.504 0.182 0.283

Space-group type ... P-1 (2)
Magnetic moment ... 0.0 Bohr magnetons per cell
Formation energy without anion corrections ... 7.69 kJ/mol of atoms
Relative energy among the computed polymorphs ... 0 meV/atom

---

(8)
## NiS4I (PBE)

Data for a geometry-optimized NiS4I structure.

Unit cell a=4.528 b=4.913 c=16.649 alpha=82.28 beta=83.01 gamma=95.55
Fractional coordinates of all 12 atoms:
I 0.207 0.457 0.085
I 0.793 0.543 0.915
S 0.429 0.460 0.386
S 0.306 0.030 0.224
S 0.970 0.746 0.224
S 0.685 0.154 0.386
S 0.571 0.540 0.614
S 0.030 0.254 0.776
S 0.694 0.970 0.776
S 0.315 0.846 0.614
Ni 0.405 0.155 0.690
Ni 0.595 0.845 0.310

Space-group type ... C2/c (15)
Magnetic moment ... 0.0 Bohr magnetons per cell
Formation energy without anion corrections ... 10.64 kJ/mol of atoms

---

(9)
## NiSI2 (PBE)

Data for a geometry-optimized NiSI2 structure.

Unit cell a=4.999 b=4.999 c=4.999 alpha=60.00 beta=60.00 gamma=60.00
Fractional coordinates of all 4 atoms:
Ni 0.500 0.500 0.500
I 0.250 0.250 0.250
I 0.750 0.750 0.750
S 0.000 0.000 0.000

Space-group type ... Fm-3m (225)
Magnetic moment ... 0.0 Bohr magnetons per cell
Formation energy without anion corrections ... 89.36 kJ/mol of atoms
Relative energy among the computed polymorphs ... 443 meV/atom

---

(10)
## NiS5I (PBE)

Data for a geometry-optimized NiS5I structure.

Unit cell a=9.400 b=8.398 c=9.154 alpha=128.61 beta=144.88 gamma=80.07
Fractional coordinates of all 7 atoms:
S 0.281 0.088 0.183
S 0.299 0.017 0.723
S 0.666 0.105 0.198
S 0.247 0.628 0.284
S 0.586 0.697 0.737
I 0.741 0.827 0.430
Ni 0.711 0.168 0.507

Space-group type ... P1 (1)
Magnetic moment ... 0.0 Bohr magnetons per cell
Formation energy without anion corrections ... 12.45 kJ/mol of atoms

---

(11)
## Ni3SI (PBE)

Data for a geometry-optimized Ni3SI structure.

Unit cell a=4.338 b=4.338 c=4.338 alpha=90.00 beta=90.00 gamma=90.00
Fractional coordinates of all 5 atoms:
I 0.500 0.500 0.500
Ni 0.000 0.000 0.500
Ni 0.500 0.000 0.000
Ni 0.000 0.500 0.000
S 0.000 0.000 0.000

Space-group type ... Pm-3m (221)
Magnetic moment ... 0.0 Bohr magnetons per cell
Formation energy without anion corrections ... 25.09 kJ/mol of atoms
Relative energy among the computed polymorphs ... 0 meV/atom

---

(12)
## NiS3I (PBE)

Data for a geometry-optimized NiS3I structure.

Unit cell a=4.502 b=4.502 c=4.502 alpha=90.00 beta=90.00 gamma=90.00
Fractional coordinates of all 5 atoms:
Ni 0.000 0.000 0.000
S 0.000 0.500 0.000
S 0.000 0.000 0.500
S 0.500 0.000 0.000
I 0.500 0.500 0.500

Space-group type ... Pm-3m (221)
Magnetic moment ... 0.0 Bohr magnetons per cell
Formation energy without anion corrections ... 47.28 kJ/mol of atoms
Relative energy among the computed polymorphs ... 410 meV/atom

---

(13)
## NiSI (PBE)

Data for a geometry-optimized NiSI structure.

Unit cell a=3.555 b=4.616 c=9.398 alpha=90.00 beta=100.48 gamma=90.00
Fractional coordinates of all 6 atoms:
S 0.275 0.750 0.052
S 0.725 0.250 0.948
Ni 0.300 0.250 0.104
Ni 0.700 0.750 0.896
I 0.899 0.250 0.310
I 0.101 0.750 0.690

Space-group type ... P2_1/m (11)
Magnetic moment ... 0.0 Bohr magnetons per cell
Formation energy without anion corrections ... -17.66 kJ/mol of atoms

---

(14)
## NiSI2 (PBE)

Data for a geometry-optimized NiSI2 structure.

Unit cell a=6.921 b=6.921 c=6.770 alpha=59.26 beta=59.26 gamma=90.00
Fractional coordinates of all 8 atoms:
I 0.875 0.929 0.750
I 0.375 0.321 0.750
I 0.071 0.625 0.250
I 0.679 0.125 0.250
S 0.250 0.750 0.500
S 0.500 0.500 0.000
Ni 0.750 0.250 0.500
Ni 0.000 0.000 0.000

Space-group type ... I-42d (122)
Magnetic moment ... 0.0 Bohr magnetons per cell
Formation energy without anion corrections ... 46.61 kJ/mol of atoms
Relative energy among the computed polymorphs ... 0 meV/atom

---

(15)
## NiS2I (PBE)

Data for a geometry-optimized NiS2I structure.

Unit cell a=4.659 b=4.659 c=4.659 alpha=60.00 beta=60.00 gamma=60.00
Fractional coordinates of all 4 atoms:
S 0.250 0.250 0.250
S 0.750 0.750 0.750
I 0.500 0.500 0.500
Ni 0.000 0.000 0.000

Space-group type ... Fm-3m (225)
Magnetic moment ... 0.0 Bohr magnetons per cell
Formation energy without anion corrections ... 96.28 kJ/mol of atoms
Relative energy among the computed polymorphs ... 1083 meV/atom

---

(16)
## NiSI (PBE)

Data for a geometry-optimized NiSI structure.

Unit cell a=3.613 b=3.613 c=5.533 alpha=90.00 beta=90.00 gamma=120.00
Fractional coordinates of all 3 atoms:
Ni 0.667 0.333 0.373
S 0.333 0.667 0.557
I 0.000 0.000 0.070

Space-group type ... P3m1 (156)
Magnetic moment ... 0.0 Bohr magnetons per cell
Formation energy without anion corrections ... 0.24 kJ/mol of atoms

---

(17)
## NiS2I (PBE)

Data for a geometry-optimized NiS2I structure.

Unit cell a=3.339 b=3.337 c=10.851 alpha=90.37 beta=90.39 gamma=60.84
Fractional coordinates of all 4 atoms:
Ni 0.198 0.198 0.323
I 0.534 0.534 0.804
S 0.864 0.864 0.430
S 0.532 0.532 0.215

Space-group type ... Cm (8)
Magnetic moment ... 0.0 Bohr magnetons per cell
Formation energy without anion corrections ... -8.19 kJ/mol of atoms
Relative energy among the computed polymorphs ... 0 meV/atom

---

(18)
## NiS2I (PBE)

Data for a geometry-optimized NiS2I structure.

Unit cell a=7.014 b=7.014 c=7.014 alpha=38.52 beta=38.52 gamma=38.52
Fractional coordinates of all 4 atoms:
I 0.500 0.500 0.500
S 0.104 0.104 0.104
S 0.896 0.896 0.896
Ni 0.000 0.000 0.000

Space-group type ... R-3m (166)
Magnetic moment ... 0.0 Bohr magnetons per cell
Formation energy without anion corrections ... 59.60 kJ/mol of atoms
Relative energy among the computed polymorphs ... 703 meV/atom

---

(19)
## NiSn2SI (PBE)

Data for a geometry-optimized NiSn2SI structure.

Unit cell a=5.429 b=4.231 c=5.429 alpha=90.00 beta=90.00 gamma=90.00
Fractional coordinates of all 5 atoms:
S 0.000 0.500 0.000
Ni 0.000 0.000 0.000
I 0.500 0.500 0.500
Sn 0.500 0.000 0.000
Sn 0.000 0.000 0.500

Space-group type ... P4/mmm (123)
Magnetic moment ... 0.0 Bohr magnetons per cell
Formation energy without anion corrections ... -7.99 kJ/mol of atoms

---

(20)
## NiTe2SI (PBE)

Data for a geometry-optimized NiTe2SI structure.

Unit cell a=5.257 b=5.257 c=5.454 alpha=90.00 beta=90.00 gamma=90.00
Site moments in Bohr magnetons follow the coordinates.
Fractional coordinates of all 5 atoms:
Ni 0.500 0.500 0.500  1.02
S 0.000 0.000 0.000  0.01
I 0.000 0.000 0.500  0.10
Te 0.500 0.000 0.000  0.16
Te 0.000 0.500 0.000  0.16

Space-group type ... P4/mmm (123)
Magnetic moment ... 1.7 Bohr magnetons per cell
Formation energy without anion corrections ... 94.33 kJ/mol of atoms
Relative energy among the computed polymorphs ... 411 meV/atom

---

(21)
## NiTe2SI (PBE)

Data for a geometry-optimized NiTe2SI structure.

Unit cell a=5.862 b=4.976 c=5.862 alpha=90.00 beta=90.00 gamma=90.00
Site moments in Bohr magnetons follow the coordinates.
Fractional coordinates of all 5 atoms:
Te 0.500 0.000 0.000  0.11
Te 0.000 0.000 0.500  0.10
S 0.000 0.500 0.000  0.06
I 0.000 0.000 0.000  -0.01
Ni 0.500 0.500 0.500  1.03

Space-group type ... P4/mmm (123)
Magnetic moment ... 1.5 Bohr magnetons per cell
Formation energy without anion corrections ... 130.60 kJ/mol of atoms
Relative energy among the computed polymorphs ... 787 meV/atom

---

(22)
## NiTe2SI (PBE)

Data for a geometry-optimized NiTe2SI structure.

Unit cell a=5.078 b=5.078 c=5.029 alpha=90.00 beta=90.00 gamma=90.00
Fractional coordinates of all 5 atoms:
I 0.000 0.000 0.500
Te 0.000 0.500 0.000
Te 0.500 0.000 0.000
Ni 0.000 0.000 0.000
S 0.500 0.500 0.500

Space-group type ... P4/mmm (123)
Magnetic moment ... 0.0 Bohr magnetons per cell
Formation energy without anion corrections ... 54.70 kJ/mol of atoms
Relative energy among the computed polymorphs ... 0 meV/atom

---

(23)
## NiTeSI2 (PBE)

Data for a geometry-optimized NiTeSI2 structure.

Unit cell a=5.110 b=5.110 c=5.163 alpha=90.00 beta=90.00 gamma=90.00
Fractional coordinates of all 5 atoms:
Ni 0.000 0.000 0.000
I 0.500 0.000 0.000
I 0.000 0.500 0.000
Te 0.000 0.000 0.500
S 0.500 0.500 0.500

Space-group type ... P4/mmm (123)
Magnetic moment ... 0.0 Bohr magnetons per cell
Formation energy without anion corrections ... 56.47 kJ/mol of atoms
Relative energy among the computed polymorphs ... 0 meV/atom

---

(24)
## NiTeSI2 (PBE)

Data for a geometry-optimized NiTeSI2 structure.

Unit cell a=5.354 b=5.354 c=5.208 alpha=90.00 beta=90.00 gamma=90.00
Site moments in Bohr magnetons follow the coordinates.
Fractional coordinates of all 5 atoms:
I 0.500 0.000 0.000  0.02
I 0.000 0.500 0.000  0.02
S 0.000 0.000 0.000  -0.01
Ni 0.500 0.500 0.500  1.01
Te 0.000 0.000 0.500  0.08

Space-group type ... P4/mmm (123)
Magnetic moment ... 1.2 Bohr magnetons per cell
Formation energy without anion corrections ... 95.25 kJ/mol of atoms
Relative energy among the computed polymorphs ... 402 meV/atom

---

(25)
## U2NiS4I (PBE)

Data for a geometry-optimized U2NiS4I structure.

Unit cell a=3.893 b=5.851 c=9.174 alpha=76.97 beta=77.75 gamma=70.57
Site moments in Bohr magnetons follow the coordinates.
Fractional coordinates of all 8 atoms:
S 0.387 0.301 0.924  -0.12
S 0.157 0.937 0.749  -0.10
S 0.613 0.699 0.076  -0.12
S 0.843 0.063 0.251  -0.10
U 0.200 0.395 0.204  1.99
U 0.800 0.605 0.796  1.99
I 0.500 0.500 0.500  -0.04
Ni 0.000 0.000 0.000  -0.73

Space-group type ... C2/m (12)
Magnetic moment ... 3.0 Bohr magnetons per cell
Formation energy without anion corrections ... -91.38 kJ/mol of atoms

---

(26)
## V2NiSI (PBE)

Data for a geometry-optimized V2NiSI structure.

Unit cell a=4.358 b=6.743 c=4.358 alpha=90.00 beta=90.00 gamma=90.00
Site moments in Bohr magnetons follow the coordinates.
Fractional coordinates of all 5 atoms:
I 0.000 0.500 0.000  -0.01
V 0.500 0.000 0.000  1.84
V 0.000 0.000 0.500  2.60
Ni 0.500 0.500 0.500  -0.85
S 0.000 0.000 0.000  -0.14

Space-group type ... P4/mmm (123)
Magnetic moment ... 4.4 Bohr magnetons per cell
Formation energy without anion corrections ... 86.14 kJ/mol of atoms

---

(27)
## ZnNiSI2 (PBE)

Data for a geometry-optimized ZnNiSI2 structure.

Unit cell a=5.431 b=4.659 c=5.431 alpha=90.00 beta=90.00 gamma=90.00
Site moments in Bohr magnetons follow the coordinates.
Fractional coordinates of all 5 atoms:
Ni 0.000 0.500 0.000  0.03
I 0.000 0.000 0.500  -0.03
I 0.500 0.000 0.000  -0.01
S 0.500 0.500 0.500  -0.08
Zn 0.000 0.000 0.000  0.00

Space-group type ... P4/mmm (123)
Magnetic moment ... 0.1 Bohr magnetons per cell
Formation energy without anion corrections ... 94.10 kJ/mol of atoms